Record 1
{"formula": "BeNbAl", "functional": "PBE", "state": "relaxed", "polymorph_energy_ev_per_atom": 0.0000, "final_energy_ev_per_atom": -6.205, "lattice_angstrom": [[-2.411, 2.501, 3.423], [2.411, -2.501, 3.423], [2.411, 2.501, -3.423]], "species": ["Be", "Be", "Nb", "Nb", "Al", "Al"], "fractional_positions": [[0.500, 0.000, 0.000], [0.500, 0.500, 0.500], [0.126, 0.376, 0.750], [0.874, 0.624, 0.250], [0.000, 0.000, 0.000], [0.500, 0.000, 0.500]]}

***

Record 2
{"formula": "Nd4HgTe3", "functional": "PBE", "state": "relaxed", "final_energy_ev_per_atom": -4.800, "lattice_angstrom": [[4.575, -6.346, 0.000], [4.575, 6.346, 0.000], [0.000, 0.000, 4.397]], "species": ["Nd", "Nd", "Nd", "Nd", "Hg", "Te", "Te", "Te"], "fractional_positions": [[0.244, 0.244, 0.500], [0.246, 0.754, 0.000], [0.754, 0.246, 0.000], [0.756, 0.756, 0.500], [0.000, 0.000, 0.000], [0.000, 0.500, 0.500], [0.500, 0.000, 0.500], [0.500, 0.500, 0.000]]}

***

Copy entry 2 word for word.
{"formula": "Nd4HgTe3", "functional": "PBE", "state": "relaxed", "final_energy_ev_per_atom": -4.800, "lattice_angstrom": [[4.575, -6.346, 0.000], [4.575, 6.346, 0.000], [0.000, 0.000, 4.397]], "species": ["Nd", "Nd", "Nd", "Nd", "Hg", "Te", "Te", "Te"], "fractional_positions": [[0.244, 0.244, 0.500], [0.246, 0.754, 0.000], [0.754, 0.246, 0.000], [0.756, 0.756, 0.500], [0.000, 0.000, 0.000], [0.000, 0.500, 0.500], [0.500, 0.000, 0.500], [0.500, 0.500, 0.000]]}